VASP calculation (PBE) on crystalline HfInTe2N at its relaxed geometry.

POSCAR file:
```
HfInTe2N
1.0
-1.228 -5.254 1.599
5.424 -1.418 -0.493
0.624 1.036 3.883
N Te Hf In
1 2 1 1
direct
0.000 0.000 0.500
0.000 0.500 0.000
0.500 0.000 0.000
0.500 0.500 0.500
0.000 0.000 0.000
```

Calculated values
total energy: -4.5401 eV/atom
uncorrected formation energy: 0.920 eV/atom

=====

VASP calculation (PBE) on crystalline Tm2Mn12Si7 at its relaxed geometry.

POSCAR file:
```
Tm2Mn12Si7
1.0
3.548 0.000 0.000
0.000 8.362 -4.828
0.000 0.000 9.656
Tm Mn Si
2 12 7
direct
0.500 0.000 0.000
0.000 0.667 0.333
0.500 0.902 0.618
0.500 0.715 0.098
0.500 0.382 0.285
0.500 0.238 0.797
0.500 0.559 0.762
0.500 0.203 0.441
0.000 0.054 0.546
0.000 0.492 0.946
0.000 0.454 0.508
0.000 0.767 0.715
0.000 0.948 0.233
0.000 0.285 0.052
0.000 0.333 0.667
0.000 0.051 0.793
0.000 0.742 0.949
0.000 0.207 0.258
0.500 0.626 0.541
0.500 0.915 0.374
0.500 0.459 0.085
```

Calculated values
total energy: -7.8900 eV/atom
uncorrected formation energy: -0.417 eV/atom

=====

Repeat the second record exactly.
VASP calculation (PBE) on crystalline Tm2Mn12Si7 at its relaxed geometry.

POSCAR file:
```
Tm2Mn12Si7
1.0
3.548 0.000 0.000
0.000 8.362 -4.828
0.000 0.000 9.656
Tm Mn Si
2 12 7
direct
0.500 0.000 0.000
0.000 0.667 0.333
0.500 0.902 0.618
0.500 0.715 0.098
0.500 0.382 0.285
0.500 0.238 0.797
0.500 0.559 0.762
0.500 0.203 0.441
0.000 0.054 0.546
0.000 0.492 0.946
0.000 0.454 0.508
0.000 0.767 0.715
0.000 0.948 0.233
0.000 0.285 0.052
0.000 0.333 0.667
0.000 0.051 0.793
0.000 0.742 0.949
0.000 0.207 0.258
0.500 0.626 0.541
0.500 0.915 0.374
0.500 0.459 0.085
```

Calculated values
total energy: -7.8900 eV/atom
uncorrected formation energy: -0.417 eV/atom

=====

The lowest uncorrected formation energy belongs to which entry?
Tm2Mn12Si7